(1)
Compound: Nb2Ru3Rh
Source: Alexandria via LeMat-Bulk
Functional: PBE-GGA
Structure: relaxed

abc: 8.317 8.317 8.317
angles: 120.55 120.55 89.05
Sites, in units of the cell vectors:
Nb 0.275 0.721 0.554
Nb 0.279 0.332 0.554
Nb 0.279 0.725 0.946
Nb 0.332 0.279 0.054
Nb 0.668 0.721 0.946
Nb 0.721 0.275 0.054
Nb 0.721 0.668 0.446
Nb 0.725 0.279 0.446
Ru 0.000 0.500 0.500
Ru 0.086 0.336 0.173
Ru 0.086 0.914 0.750
Ru 0.336 0.086 0.673
Ru 0.336 0.664 0.250
Ru 0.500 0.000 0.000
Ru 0.500 0.500 0.000
Ru 0.500 0.500 0.500
Ru 0.664 0.336 0.750
Ru 0.664 0.914 0.327
Ru 0.914 0.086 0.250
Ru 0.914 0.664 0.827
Rh 0.090 0.340 0.750
Rh 0.340 0.090 0.250
Rh 0.660 0.910 0.750
Rh 0.910 0.660 0.250

Calculated values
- energy of formation (eV per atom) = 0.099
- distance to the lowest polymorph of the same formula (meV per atom) = 148
- space-group type = I4_1/amd

=====

(2)
Compound: YTmMg2
Source: Alexandria via LeMat-Bulk
Functional: PBE-GGA
Structure: relaxed

abc: 11.163 11.163 11.163
angles: 17.69 17.69 17.69
Sites, in units of the cell vectors:
Y 0.000 0.000 0.000
Tm 0.169 0.169 0.169
Mg 0.419 0.419 0.419
Mg 0.584 0.584 0.584

Calculated values
- energy of formation (eV per atom) = 0.054
- distance to the lowest polymorph of the same formula (meV per atom) = 142
- space-group type = R3m

=====

(3)
Compound: DyThHgPd
Source: Alexandria via LeMat-Bulk
Functional: PBE-GGA
Structure: relaxed

abc: 5.210 5.210 5.210
angles: 60.00 60.00 60.00
Sites, in units of the cell vectors:
Dy 0.000 0.000 0.000
Th 0.500 0.500 0.500
Hg 0.250 0.250 0.250
Pd 0.750 0.750 0.750

Calculated values
- energy of formation (eV per atom) = -0.484
- space-group type = F-43m

=====

(4)
Compound: CaMoCl2
Source: Alexandria via LeMat-Bulk
Functional: PBE-GGA
Structure: relaxed

abc: 4.727 4.727 4.727
angles: 60.00 60.00 60.00
Sites, in units of the cell vectors:
Ca 0.000 0.000 0.000
Mo 0.500 0.500 0.500
Cl 0.250 0.250 0.250
Cl 0.750 0.750 0.750

Calculated values
- energy relative to the elements, uncorrected (eV per atom) = -0.149
- distance to the lowest polymorph of the same formula (meV per atom) = 404
- space-group type = Fm-3m

=====

(5)
Compound: Sc4ZnSb
Source: Alexandria via LeMat-Bulk
Functional: PBE-GGA
Structure: relaxed

abc: 5.818 5.818 5.818
angles: 60.00 60.00 60.00
Sites, in units of the cell vectors:
Sc 0.125 0.125 0.125
Sc 0.125 0.125 0.625
Sc 0.125 0.625 0.125
Sc 0.625 0.125 0.125
Zn 0.750 0.750 0.750
Sb 0.500 0.500 0.500

Calculated values
- energy relative to the elements, uncorrected (eV per atom) = 0.124
- space-group type = F-43m

=====

(6)
Compound: BeH
Source: Alexandria via LeMat-Bulk
Functional: PBE-GGA
Structure: relaxed

abc: 4.034 4.034 4.154
angles: 90.00 90.00 119.24
Sites, in units of the cell vectors:
Be 0.009 0.370 0.436
Be 0.370 0.009 0.564
Be 0.630 0.991 0.064
Be 0.991 0.630 0.936
H 0.241 0.759 0.250
H 0.333 0.333 0.500
H 0.667 0.667 0.000
H 0.759 0.241 0.750

Calculated values
- distance to the lowest polymorph of the same formula (meV per atom) = 103
- space-group type = C222_1

=====

(7)
Compound: ScPbNO2
Source: Alexandria via LeMat-Bulk
Functional: PBE-GGA
Structure: relaxed

abc: 4.180 4.180 4.288
angles: 90.00 90.00 90.00
Sites, in units of the cell vectors:
Sc 0.000 0.000 0.000
Pb 0.500 0.500 0.500
N 0.500 0.500 0.000
O 0.000 0.500 0.500
O 0.500 0.000 0.500

Calculated values
- energy relative to the elements, uncorrected (eV per atom) = -0.292
- space-group type = P4/mmm

=====

(8)
Compound: Zr4PaCdN8
Source: Alexandria via LeMat-Bulk
Functional: PBE-GGA
Structure: relaxed

abc: 6.580 6.580 6.580
angles: 60.41 60.41 60.41
Sites, in units of the cell vectors:
Zr 0.000 0.000 0.000
Zr 0.376 0.376 0.881
Zr 0.376 0.881 0.376
Zr 0.881 0.376 0.376
Pa 0.753 0.753 0.753
Cd 0.376 0.376 0.376
N 0.120 0.120 0.613
N 0.120 0.613 0.120
N 0.134 0.134 0.134
N 0.150 0.630 0.630
N 0.613 0.120 0.120
N 0.617 0.617 0.617
N 0.630 0.150 0.630
N 0.630 0.630 0.150

Calculated values
- energy relative to the elements, uncorrected (eV per atom) = -1.048
- space-group type = R3m

=====

(9)
Compound: CsTlPb
Source: Alexandria via LeMat-Bulk
Functional: PBE-GGA
Structure: relaxed

abc: 8.396 8.396 8.396
angles: 153.55 153.55 37.76
Sites, in units of the cell vectors:
Cs 0.000 0.000 0.000
Tl 0.317 0.317 0.000
Pb 0.688 0.688 0.000

Calculated values
- energy of formation (eV per atom) = -0.070
- space-group type = I4mm

=====

(10)
Compound: La3YHo2Er6
Source: Alexandria via LeMat-Bulk
Functional: PBE-GGA
Structure: relaxed

abc: 6.201 6.201 11.795
angles: 95.02 95.02 119.99
Sites, in units of the cell vectors:
La 0.000 0.000 0.000
La 0.333 0.667 0.000
La 0.667 0.333 0.000
Y 0.500 0.500 0.500
Ho 0.167 0.833 0.500
Ho 0.833 0.167 0.500
Er 0.085 0.419 0.256
Er 0.247 0.247 0.744
Er 0.419 0.085 0.256
Er 0.581 0.915 0.744
Er 0.753 0.753 0.256
Er 0.915 0.581 0.744

Calculated values
- energy of formation (eV per atom) = 0.026
- space-group type = C2/m

=====

(11)
Compound: La2MnCd
Source: Alexandria via LeMat-Bulk
Functional: PBE-GGA
Structure: relaxed

abc: 3.515 3.515 8.921
angles: 90.00 90.00 90.00
Sites, in units of the cell vectors:
La 0.000 0.000 0.000
La 0.500 0.500 0.347
Mn 0.000 0.000 0.574
Cd 0.500 0.500 0.736

Calculated values
- energy of formation (eV per atom) = 0.104
- space-group type = P4mm

=====

(12)
Compound: Y3Er4Th2
Source: Alexandria via LeMat-Bulk
Functional: PBE-GGA
Structure: relaxed

abc: 8.680 8.680 6.346
angles: 104.94 104.94 38.70
Sites, in units of the cell vectors:
Y 0.000 0.000 0.000
Y 0.125 0.125 0.567
Y 0.875 0.875 0.433
Er 0.230 0.230 0.134
Er 0.440 0.440 0.260
Er 0.560 0.560 0.740
Er 0.770 0.770 0.866
Th 0.355 0.355 0.722
Th 0.645 0.645 0.278

Calculated values
- energy of formation (eV per atom) = 0.124
- space-group type = C2/m

=====

(13)
Compound: HoTmMg
Source: Alexandria via LeMat-Bulk
Functional: PBE-GGA
Structure: relaxed

abc: 4.560 4.560 4.560
angles: 77.03 77.03 77.03
Sites, in units of the cell vectors:
Ho 0.000 0.000 0.000
Tm 0.368 0.368 0.368
Mg 0.683 0.683 0.683

Calculated values
- energy of formation (eV per atom) = 0.332
- distance to the lowest polymorph of the same formula (meV per atom) = 385
- space-group type = R3m

=====

(14)
Compound: TaTlZn2O
Source: Alexandria via LeMat-Bulk
Functional: PBE-GGA
Structure: relaxed

abc: 5.395 5.395 3.871
angles: 90.00 90.00 90.00
Sites, in units of the cell vectors:
Ta 0.000 0.000 0.000
Tl 0.500 0.500 0.500
Zn 0.000 0.500 0.000
Zn 0.500 0.000 0.000
O 0.000 0.000 0.500

Calculated values
- energy relative to the elements, uncorrected (eV per atom) = -0.246
- space-group type = P4/mmm

=====

(15)
Compound: CdCo2Ru
Source: Alexandria via LeMat-Bulk
Functional: PBE-GGA
Structure: relaxed

abc: 4.589 2.754 4.789
angles: 90.00 110.48 90.00
Sites, in units of the cell vectors:
Cd 0.000 0.000 0.000
Co 0.500 0.000 0.500
Co 0.500 0.500 0.000
Ru 0.000 0.500 0.500

Calculated values
- energy of formation (eV per atom) = 0.460
- space-group type = P2/m

=====

(16)
Compound: Be2V5As
Source: Alexandria via LeMat-Bulk
Functional: PBE-GGA
Structure: relaxed

abc: 6.906 6.906 6.906
angles: 128.57 128.57 75.70
Sites, in units of the cell vectors:
Be 0.124 0.624 0.748
Be 0.376 0.124 0.500
Be 0.624 0.876 0.500
Be 0.876 0.376 0.252
V 0.000 0.000 0.000
V 0.026 0.190 0.500
V 0.190 0.690 0.164
V 0.310 0.474 0.500
V 0.474 0.974 0.164
V 0.500 0.500 0.000
V 0.526 0.026 0.836
V 0.690 0.526 0.500
V 0.810 0.310 0.836
V 0.974 0.810 0.500
As 0.250 0.250 0.000
As 0.750 0.750 0.000

Calculated values
- energy of formation (eV per atom) = -0.296
- space-group type = I4/mcm

=====

(17)
Compound: BaCaBi
Source: Alexandria via LeMat-Bulk
Functional: PBE-GGA
Structure: relaxed

abc: 12.080 12.080 10.053
angles: 97.38 97.38 24.90
Sites, in units of the cell vectors:
Ba 0.067 0.067 0.325
Ba 0.393 0.393 0.178
Ba 0.607 0.607 0.822
Ba 0.933 0.933 0.675
Ca 0.248 0.248 0.368
Ca 0.259 0.259 0.883
Ca 0.741 0.741 0.117
Ca 0.752 0.752 0.632
Bi 0.159 0.159 0.080
Bi 0.169 0.169 0.612
Bi 0.831 0.831 0.388
Bi 0.841 0.841 0.920

Calculated values
- energy of formation (eV per atom) = -0.612
- distance to the lowest polymorph of the same formula (meV per atom) = 230
- space-group type = C2/m

=====

(18)
Compound: Sr2Zn3
Source: Alexandria via LeMat-Bulk
Functional: PBE-GGA
Structure: relaxed

abc: 14.368 14.368 4.591
angles: 90.00 90.00 162.74
Sites, in units of the cell vectors:
Sr 0.069 0.931 0.750
Sr 0.203 0.797 0.250
Sr 0.797 0.203 0.750
Sr 0.931 0.069 0.250
Zn 0.335 0.665 0.250
Zn 0.384 0.616 0.750
Zn 0.477 0.523 0.750
Zn 0.523 0.477 0.250
Zn 0.616 0.384 0.250
Zn 0.665 0.335 0.750

Calculated values
- energy of formation (eV per atom) = -0.225
- space-group type = Cmcm

=====

(19)
Compound: Ag2TeRu
Source: Alexandria via LeMat-Bulk
Functional: PBE-GGA
Structure: relaxed

abc: 9.141 9.141 9.141
angles: 20.27 20.27 20.27
Sites, in units of the cell vectors:
Ag 0.000 0.000 0.000
Ag 0.252 0.252 0.252
Te 0.482 0.482 0.482
Ru 0.749 0.749 0.749

Calculated values
- energy relative to the elements, uncorrected (eV per atom) = 0.324
- space-group type = R3m

=====

(20)
Compound: SmY2Ge
Source: Alexandria via LeMat-Bulk
Functional: PBE-GGA
Structure: relaxed

abc: 9.918 9.918 9.918
angles: 22.19 22.19 22.19
Sites, in units of the cell vectors:
Sm 0.000 0.000 0.000
Y 0.232 0.232 0.232
Y 0.437 0.437 0.437
Ge 0.835 0.835 0.835

Calculated values
- energy of formation (eV per atom) = -0.265
- space-group type = R3m

=====

Looking at N(E_F) for the records above, in order, we have 6.6, 5.0, 4.0, 3.1, 9.2, 0.0, 0.4, 3.2, 2.6, 16.7, 5.0, 14.2, 4.8, 2.8, 5.6, 6.0, 1.8, 3.6, 3.1, 5.2 states/eV/f.u..